# 1
# GGA-PBE SiTc2Sb, relaxed
data_SiTc2Sb
_chemical_formula_sum 'Si2 Tc4 Sb2'
_cell_length_a 8.126
_cell_length_b 3.091
_cell_length_c 5.328
_cell_angle_alpha 90.00
_cell_angle_beta 104.22
_cell_angle_gamma 90.00
_symmetry_space_group_name_H-M 'C 1 2/m 1'
_symmetry_Int_Tables_number 12
_symmetry_space_group_name_Hall '-C 2y'
loop_
_atom_site_label
_atom_site_fract_x
_atom_site_fract_y
_atom_site_fract_z
Si1 0.000 0.000 0.000
Tc1 0.232 0.500 0.206
Sb1 0.000 0.500 0.500
# DFT total energy in eV for the cell shown: -60.3
# N(E_F) in states/eV/f.u.: 1.997
# Energy relative to the elements, uncorrected in meV/atom: 29
# Excess energy over the best structure of this formula in the dataset in eV per atom: 0.107

# 2
# GGA-PBE SiTcSb, relaxed
data_SiTcSb
_chemical_formula_sum 'Si1 Tc1 Sb1'
_cell_length_a 3.2436
_cell_length_b 3.2436
_cell_length_c 5.8905
_cell_angle_alpha 90.00
_cell_angle_beta 90.00
_cell_angle_gamma 120.00
_symmetry_space_group_name_H-M 'P 3 m 1'
_symmetry_Int_Tables_number 156
_symmetry_space_group_name_Hall 'P 3 -2"'
loop_
_atom_site_label
_atom_site_fract_x
_atom_site_fract_y
_atom_site_fract_z
Si1 0.0000 0.0000 0.0000
Tc1 0.6667 0.3333 0.2714
Sb1 0.3333 0.6667 0.6098
# DFT total energy in eV for the cell shown: -19.8
# N(E_F) in states/eV/f.u.: 1.023
# Energy relative to the elements, uncorrected in meV/atom: 28
# Excess energy over the best structure of this formula in the dataset in eV per atom: 0.000

# 3
# GGA-PBE SiTcSb, relaxed
data_SiTcSb
_chemical_formula_sum 'Si1 Tc1 Sb1'
_cell_length_a 4.2437
_cell_length_b 4.2437
_cell_length_c 3.4569
_cell_angle_alpha 90.00
_cell_angle_beta 90.00
_cell_angle_gamma 120.00
_symmetry_space_group_name_H-M 'P -6 m 2'
_symmetry_Int_Tables_number 187
_symmetry_space_group_name_Hall 'P -6 2'
loop_
_atom_site_label
_atom_site_fract_x
_atom_site_fract_y
_atom_site_fract_z
Si1 0.0000 0.0000 0.0000
Tc1 0.6667 0.3333 0.0000
Sb1 0.3333 0.6667 0.5000
# DFT total energy in eV for the cell shown: -19.1
# N(E_F) in states/eV/f.u.: 2.872
# Energy relative to the elements, uncorrected in meV/atom: 262
# Excess energy over the best structure of this formula in the dataset in eV per atom: 0.234

# 4
# GGA-PBE SiTc2Sb, relaxed
data_SiTc2Sb
_chemical_formula_sum 'Si2 Tc4 Sb2'
_cell_length_a 3.255
_cell_length_b 4.996
_cell_length_c 7.983
_cell_angle_alpha 90.00
_cell_angle_beta 90.00
_cell_angle_gamma 90.00
_symmetry_space_group_name_H-M 'I m m m'
_symmetry_Int_Tables_number 71
_symmetry_space_group_name_Hall '-I 2 2'
loop_
_atom_site_label
_atom_site_fract_x
_atom_site_fract_y
_atom_site_fract_z
Si1 0.000 0.000 0.000
Tc1 0.000 0.500 0.283
Sb1 0.000 0.000 0.500
# DFT total energy in eV for the cell shown: -59.2
# N(E_F) in states/eV/f.u.: 3.621
# Energy relative to the elements, uncorrected in meV/atom: 170
# Excess energy over the best structure of this formula in the dataset in eV per atom: 0.248